(1)
Material: Ac2HgTeO6
Method: DFT, PBE
State: optimized geometry

Summary:
**ΔE_f (raw)**: -20.33 eV/f.u.
**E_tot**: -6.17 eV/atom
**DOS(E_F)**: 0.000 states/eV per atom

Lattice parameters (Å, degrees): 6.1425 6.1425 17.6223 90.00 90.00 120.00
Space group R3 (No. 146, hexagonal axes)
One atom of each set of equivalent atoms:
Ac 0.0000 0.0000 0.0000
Ac 0.0000 0.0000 0.4939
Hg 0.0000 0.0000 0.7502
Te 0.0000 0.0000 0.2073
O 0.0097 0.7012 0.0923
O 0.0170 0.2950 0.2559



(2)
Material: ReTcIr
Method: DFT, PBE
State: optimized geometry

Summary:
**E_tot**: -10.77 eV/atom
**DOS(E_F)**: 0.925 states/eV per atom

Lattice parameters (Å, degrees): 4.3659 4.8053 8.3389 90.00 90.00 90.00
Space group Ama2 (No. 40)
One atom of each set of equivalent atoms:
Re 0.2500 0.1659 0.0000
Tc 0.2500 0.1653 0.3357
Ir 0.2500 0.1660 0.6685



(3)
Material: RbCeTeSe
Method: DFT, PBE
State: optimized geometry

Summary:
**ΔE_f (raw)**: -5.87 eV/f.u.
**E_tot**: -4.85 eV/atom
**DOS(E_F)**: 1.596 states/eV per atom

Lattice parameters (Å, degrees): 4.5080 4.5080 25.4137 90.00 90.00 120.00
Space group R3m (No. 160, hexagonal axes)
One atom of each set of equivalent atoms:
Rb 0.0000 0.0000 0.0000
Ce 0.0000 0.0000 0.1605
Te 0.0000 0.0000 0.5672
Se 0.0000 0.0000 0.7669



(4)
Material: CeUOsRh
Method: DFT, PBE
State: optimized geometry

Summary:
**E_tot**: -9.17 eV/atom
**DOS(E_F)**: 1.949 states/eV per atom

Lattice parameters (Å, degrees): 6.6115 6.6115 6.6115 90.00 90.00 90.00
Space group F-43m (No. 216)
One atom of each set of equivalent atoms:
Ce 0.0000 0.0000 0.0000
U 0.2500 0.2500 0.2500
Os 0.0000 0.0000 0.5000
Rh 0.2500 0.2500 0.7500



(5)
Material: Sc2HgCl
Method: DFT, PBE
State: optimized geometry

Summary:
**ΔE_f (raw)**: -2.97 eV/f.u.
**E_tot**: -4.45 eV/atom
**DOS(E_F)**: 0.784 states/eV per atom

Lattice parameters (Å, degrees): 5.8740 3.5871 8.2022 90.00 101.09 90.00
Space group P2_1/m (No. 11)
One atom of each set of equivalent atoms:
Sc 0.1753 0.2500 0.1523
Sc 0.1940 0.2500 0.6203
Hg 0.3243 0.7500 0.8988
Cl 0.2786 0.7500 0.3965



(6)
Material: Mg6InBi
Method: DFT, PBE
State: optimized geometry

Summary:
**E_tot**: -2.11 eV/atom
**DOS(E_F)**: 0.579 states/eV per atom

Lattice parameters (Å, degrees): 4.5267 4.5267 9.2162 90.00 90.00 90.00
Space group P4/mmm (No. 123)
One atom of each set of equivalent atoms:
Mg 0.0000 0.0000 0.0000
Mg 0.0000 0.0000 0.5000
Mg 0.0000 0.5000 0.2397
In 0.5000 0.5000 0.0000
Bi 0.5000 0.5000 0.5000